No. 1
Compound: Ce2PuPt
Source: Alexandria
Functional: GGA-PBE
Structure: relaxed

Lattice parameters (Å, degrees): 3.998 3.998 7.969 75.47 75.47 60.00
Atoms (fractional coordinates):
Ce1 0.070 0.070 0.790
Ce2 0.251 0.251 0.247
Pu1 0.516 0.516 0.452
Pt1 0.663 0.663 0.011

Properties
SG   R3m
Offset from the most stable computed form   0.263 eV per atom
Raw total energy   -8.375 eV per atom
Formation energy from the elements   -30 kJ/mol of atoms
Mass density   11.31 g/cm³

---

No. 2
Compound: ReAsSe2
Source: Alexandria
Functional: GGA-PBE
Structure: relaxed

Lattice parameters (Å, degrees): 4.665 4.665 3.144 90.00 90.00 90.00
Atoms (fractional coordinates):
Re1 0.000 0.500 0.500
As1 0.500 0.000 0.500
Se1 0.000 0.000 0.000
Se2 0.500 0.500 0.000

Properties
Energy relative to the elements, uncorrected   2.93 eV/f.u.
SG   P4/mmm
Raw total energy   -5.284 eV per atom
Mass density   10.17 g/cm³

---

No. 3
Compound: ZrPI2
Source: Alexandria
Functional: GGA-PBE
Structure: relaxed

Lattice parameters (Å, degrees): 5.118 5.118 5.118 60.00 60.00 60.00
Atoms (fractional coordinates):
I1 0.250 0.250 0.250
I2 0.750 0.750 0.750
P1 0.000 0.000 0.000
Zr1 0.500 0.500 0.500

Properties
Energy relative to the elements, uncorrected   1.04 eV/f.u.
SG   Fm-3m
Offset from the most stable computed form   0.519 eV per atom
Raw total energy   -4.004 eV per atom
Mass density   6.59 g/cm³